# 1
A plane-wave DFT calculation with PBE-GGA was carried out for an optimized crystal structure of ScPIr2.

Unit cell a=5.950 b=5.950 c=6.381 alpha=62.21 beta=62.21 gamma=90.00
Positions (direct):
P1 0.500 0.500 0.000
P2 0.250 0.750 0.500
Ir1 0.875 0.815 0.750
Ir2 0.375 0.435 0.750
Ir3 0.185 0.625 0.250
Ir4 0.565 0.125 0.250
Sc1 0.000 0.000 0.000
Sc2 0.750 0.250 0.500

Computed properties:
size of the total moment = 0.000 μB per atom
energy of formation = -173.7 meV per atom

---

# 2
A plane-wave DFT calculation with PBE-GGA was carried out for an optimized crystal structure of Sm4Hg2O.

Unit cell a=4.862 b=4.862 c=8.447 alpha=73.27 beta=73.27 gamma=90.00
Positions (direct):
O1 0.000 0.000 0.000
Hg1 0.630 0.630 0.739
Hg2 0.370 0.370 0.261
Sm1 0.177 0.177 0.645
Sm2 0.500 0.000 0.000
Sm3 0.823 0.823 0.355
Sm4 0.000 0.500 0.000

Computed properties:
ΔE_f (raw) = -7.41 eV/f.u.
size of the total moment = 0.000 μB per atom

---

# 3
A plane-wave DFT calculation with PBE-GGA was carried out for an optimized crystal structure of LiZn2Pt.

Unit cell a=4.319 b=4.319 c=4.319 alpha=60.00 beta=60.00 gamma=60.00
Positions (direct):
Li1 0.000 0.000 0.000
Zn1 0.250 0.250 0.250
Zn2 0.750 0.750 0.750
Pt1 0.500 0.500 0.500

Computed properties:
size of the total moment = 0.000 μB per atom
energy of formation = -560.4 meV per atom

---

Repeat the second record exactly.
A plane-wave DFT calculation with PBE-GGA was carried out for an optimized crystal structure of Sm4Hg2O.

Unit cell a=4.862 b=4.862 c=8.447 alpha=73.27 beta=73.27 gamma=90.00
Positions (direct):
O1 0.000 0.000 0.000
Hg1 0.630 0.630 0.739
Hg2 0.370 0.370 0.261
Sm1 0.177 0.177 0.645
Sm2 0.500 0.000 0.000
Sm3 0.823 0.823 0.355
Sm4 0.000 0.500 0.000

Computed properties:
ΔE_f (raw) = -7.41 eV/f.u.
size of the total moment = 0.000 μB per atom